[1]
VASP calculation (PBE) on a geometry-optimized Ho2Tm12Sc5 structure.

Summary:
As for the formation energy: 0.383 eV per atom.

```
Ho2Tm12Sc5
1.0
-0.6017 2.6636 -6.3131
5.6591 -7.5492 0.0227
-9.4636 -4.0493 -0.8064
Ho Tm Sc
2 12 5
Cartesian
-0.4414 1.9538 -4.6308
-0.1604 0.7098 -1.6824
2.0963 -4.0685 -5.6635
-5.0209 -7.9286 -0.8756
-5.3407 -6.5133 -4.2300
-0.3217 -6.5123 -0.8599
-0.6199 -5.1923 -3.9886
-6.3480 -1.3755 -3.7224
1.9418 -7.5594 -3.3745
-4.0845 -2.4226 -6.2369
-3.7863 -3.7426 -3.1083
0.6147 -1.0063 -6.2213
0.9344 -2.4216 -2.8669
-6.5026 -4.8665 -1.4334
-2.8891 -7.1650 -2.7476
2.6755 -4.9880 -2.3595
-4.7318 -2.0246 -0.4032
-7.0817 -3.9469 -4.7374
-1.5172 -1.7699 -4.3493
```

***

[2]
VASP calculation (PBE) on a geometry-optimized Ho15Tm2Sc2 structure.

Summary:
As for the formation energy: 0.302 eV per atom.

```
Ho15Tm2Sc2
1.0
-3.0402 1.7405 -7.8403
1.7768 -7.3529 -4.0645
-7.6419 -3.9011 0.3540
Ho Tm Sc
15 2 2
Cartesian
0.8884 -3.6765 -2.0323
-3.8210 -1.9506 0.1770
-1.5201 0.8702 -3.9202
-6.2809 -2.2325 -2.0696
-1.6155 -0.9491 -6.7236
-1.0090 -6.3320 -2.7577
0.3521 -4.6634 -5.1813
-4.8562 -4.9221 -0.9528
-4.4013 0.0719 -5.4167
-2.4222 -7.0793 -6.2342
-6.9953 -5.4034 -4.0889
-4.7610 -2.6642 -8.0675
-6.4831 -2.4343 -5.3166
-1.9101 -4.1102 -7.4620
-4.1443 -6.8494 -3.4834
-6.0682 -6.4826 -7.8708
-2.8372 -3.0310 -3.6800
-8.0986 -8.6517 -10.5044
-0.8068 -0.8619 -1.0464
```